Here is a geometry-optimized Mg4CdTe structure from Alexandria. Energies are from PBE.

Results
* ΔE_f (raw): 1.6 kJ/mol of atoms
* E: -1.72 eV per atom
* D(E_F): 0.479 states/eV per atom
* crystal system: cubic
* space-group type: F-43m (216)

a b c (Å): 5.9160 5.9160 5.9160
angles (deg): 60.00 60.00 60.00
Fractional positions:
Mg  0.3752  0.3752  0.3752
Mg  0.3752  0.3752  0.8744
Mg  0.3752  0.8744  0.3752
Te  0.7500  0.7500  0.7500
Cd  0.0000  0.0000  0.0000
Mg  0.8744  0.3752  0.3752